PSO, relaxed, DFT PBE-GGA; ΔE_f (raw) = -1.80 eV per formula unit; space-group type = Pm (6)
1.0
-2.2256 0.5873 -2.7015
-2.4405 0.0605 2.0237
1.7574 5.1219 1.9661
P S O
1 1 1
direct
0.2341 0.5000 0.4678
0.3195 0.0000 0.7309
0.5333 0.5000 0.3242